This record from the Alexandria database describes crystalline PtSe2Cl at its relaxed geometry. The functional is PBE.

Cell lengths 6.934, 6.934, 8.355 Å; angles 90.00, 90.00, 90.00 degrees
Space group I-42d (No. 122)
Symmetry-distinct sites (fractional):
Pt: 0.000 0.000 0.000 x4
Se: 0.187 0.750 0.125 x8
Cl: 0.000 0.000 0.500 x4

**Energy relative to the elements, uncorrected**: 0.0727 eV per atom
**Total energy**: -3.6414 eV per atom
**Size of the total moment**: 0.0 μB per formula unit
**Theoretical density**: 6.424 g cm⁻³

---

This record from the Alexandria database describes crystalline LiGaAu at its relaxed geometry. The functional is PBE.

Cell lengths 4.4119, 4.4119, 5.7519 Å; angles 90.00, 90.00, 120.00 degrees
Space group P3m1 (No. 156)
Symmetry-distinct sites (fractional):
Li: 0.0000 0.0000 0.0000 x1
Li: 0.3333 0.6667 0.1952 x1
Ga: 0.0000 0.0000 0.4869 x1
Ga: 0.6667 0.3333 0.8307 x1
Au: 0.3333 0.6667 0.7166 x1
Au: 0.6667 0.3333 0.2951 x1

**Total energy**: -3.1651 eV per atom
**Size of the total moment**: 0.0 μB per formula unit
**Theoretical density**: 9.373 g cm⁻³
**Energy relative to the elements**: -0.43 eV/atom

---

This record from the Alexandria database describes crystalline SmMgZrHg at its relaxed geometry. The functional is PBE.

Cell lengths 7.322, 7.322, 7.322 Å; angles 90.00, 90.00, 90.00 degrees
Space group F-43m (No. 216)
Symmetry-distinct sites (fractional):
Sm: 0.000 0.000 0.000 x4
Mg: 0.250 0.250 0.250 x4
Zr: 0.000 0.000 0.500 x4
Hg: 0.250 0.250 0.750 x4

**Total energy**: -3.8639 eV per atom
**Size of the total moment**: 0.3 μB per formula unit
**Theoretical density**: 7.893 g cm⁻³
**Energy relative to the elements**: -0.07 eV/atom

---

This record from the Alexandria database describes crystalline LuZr2Zn at its relaxed geometry. The functional is PBE.

Cell lengths 3.1516, 3.1516, 32.5395 Å; angles 90.00, 90.00, 120.00 degrees
Space group R-3m (No. 166, hexagonal axes)
Symmetry-distinct sites (fractional):
Lu: 0.0000 0.0000 0.0000 x3
Zr: 0.0000 0.0000 0.0968 x6
Zn: 0.0000 0.0000 0.5000 x3

**Total energy**: -5.4881 eV per atom
**Size of the total moment**: 0.0 μB per formula unit
**Theoretical density**: 7.525 g cm⁻³
**Energy relative to the elements**: 0.23 eV/atom

---

This record from the Alexandria database describes crystalline CdPW at its relaxed geometry. The functional is PBE.

Cell lengths 6.136, 6.136, 6.136 Å; angles 90.00, 90.00, 90.00 degrees
Space group F-43m (No. 216)
Symmetry-distinct sites (fractional):
Cd: 0.000 0.000 0.000 x4
P: 0.000 0.000 0.500 x4
W: 0.250 0.250 0.750 x4

**Total energy**: -5.5135 eV per atom
**Size of the total moment**: 0.7 μB per formula unit
**Theoretical density**: 9.407 g cm⁻³
**Energy relative to the elements**: 0.91 eV/atom

---

This record from the Alexandria database describes crystalline Ba2LaTaMn at its relaxed geometry. The functional is PBE.

Cell lengths 6.273, 6.273, 4.742 Å; angles 90.00, 90.00, 90.00 degrees
Space group P4/mmm (No. 123)
Symmetry-distinct sites (fractional):
Ba: 0.000 0.500 0.000 x2
La: 0.000 0.000 0.500 x1
Ta: 0.500 0.500 0.000 x1
Mn: 0.500 0.500 0.500 x1

**Total energy**: -4.9286 eV per atom
**Size of the total moment**: 2.2 μB per formula unit
**Theoretical density**: 5.778 g cm⁻³
**Energy relative to the elements**: 1.03 eV/atom